1.
The following is a GGA-PBE calculation of a geometry-optimized PmPrSmTm structure, from the Alexandria database.

Lattice parameters (Å, degrees): 5.7582 5.7582 5.7582 60.00 60.00 60.00
Sites, in units of the cell vectors:
Pr (0.0000, 0.0000, 0.0000)
Tm (0.7500, 0.7500, 0.7500)
Sm (0.2500, 0.2500, 0.2500)
Pm (0.5000, 0.5000, 0.5000)

Calculated values
Calculated formation energy, eV per formula unit: 0.5
Energy relative to the lowest polymorph listed for this composition, eV/f.u.: 0.41


2.
The following is a GGA-PBE calculation of a geometry-optimized K3Cd2TeO6 structure, from the Alexandria database.

Lattice parameters (Å, degrees): 5.9751 5.9751 6.4666 98.89 98.89 119.95
Sites, in units of the cell vectors:
K (0.1725, 0.8275, 0.5000)
K (0.8275, 0.1725, 0.5000)
K (0.5000, 0.5000, 0.5000)
Cd (0.3338, 0.6662, 0.0000)
Cd (0.6662, 0.3338, 0.0000)
Te (0.0000, 0.0000, 0.0000)
O (0.9372, 0.6422, 0.8131)
O (0.7694, 0.7694, 0.1885)
O (0.0628, 0.3578, 0.1869)
O (0.6422, 0.9372, 0.8131)
O (0.2306, 0.2306, 0.8115)
O (0.3578, 0.0628, 0.1869)

Calculated values
Formation energy without anion corrections, eV per atom: -1.255


3.
The following is a GGA-PBE calculation of a geometry-optimized LiP2Os structure, from the Alexandria database.

Lattice parameters (Å, degrees): 2.8893 3.8019 4.8807 90.00 90.00 90.00
Sites, in units of the cell vectors:
Li (0.0000, 0.0000, 0.4558)
Os (0.5000, 0.5000, 0.7921)
P (0.0000, 0.0000, 0.9450)
P (0.5000, 0.5000, 0.3071)

Calculated values
Calculated formation energy, eV per formula unit: -0.1
Energy relative to the lowest polymorph listed for this composition, eV/f.u.: 0.89